*one*
VASP calculation (PBE) on a geometry-optimized Fe3GeSb structure.

Fermi-level density of states   5.99 states/eV per cell
Density   5.6 g/cm³
M_tot   7.274 μB/f.u.

Cell: 4.7406 4.7406 4.7406 Å, 90.00 90.00 90.00°
Space group Pm-3m (No. 221)
Asymmetric unit:
Fe (0.0000, 0.0000, 0.5000) x3
Ge (0.5000, 0.5000, 0.5000) x1
Sb (0.0000, 0.0000, 0.0000) x1

---

*two*
VASP calculation (PBE) on a geometry-optimized Fe3GeSb structure.

Fermi-level density of states   2.43 states/eV per cell
Density   6.9 g/cm³
M_tot   6.610 μB/f.u.

Cell: 4.4277 4.4277 4.4277 Å, 90.00 90.00 90.00°
Space group Pm-3m (No. 221)
Asymmetric unit:
Fe (0.0000, 0.0000, 0.5000) x3
Ge (0.0000, 0.0000, 0.0000) x1
Sb (0.5000, 0.5000, 0.5000) x1

---

Which of them is the most stable? Correct choice: *two*.

---

*one*
VASP calculation (PBE) on a geometry-optimized Fe2Ge2Sb structure.

Fermi-level density of states   7.62 states/eV per cell
Density   8.2 g/cm³
M_tot   0.822 μB/f.u.

Cell: 3.6384 3.6384 11.6353 Å, 90.00 90.00 90.00°
Space group I4/mmm (No. 139)
Asymmetric unit:
Fe (0.0000, 0.0000, 0.1110) x4
Ge (0.0000, 0.5000, 0.2500) x4
Sb (0.0000, 0.0000, 0.5000) x2

---

*two*
VASP calculation (PBE) on a geometry-optimized Fe2Ge2Sb structure.

Fermi-level density of states   7.09 states/eV per cell
Density   8.5 g/cm³
M_tot   0.000 μB/f.u.

Cell: 7.1655 7.1655 2.8889 Å, 90.00 90.00 90.00°
Space group P4/mbm (No. 127)
Asymmetric unit:
Fe (0.1503, 0.3497, 0.0000) x4
Ge (0.1398, 0.6398, 0.5000) x4
Sb (0.0000, 0.0000, 0.0000) x2

---

Which of them is the most stable? Correct choice: *one*.

---

*one*
VASP calculation (PBE) on a geometry-optimized FeGeSb2Te structure.

Fermi-level density of states   7.59 states/eV per cell
Density   5.4 g/cm³
M_tot   3.051 μB/f.u.

Cell: 5.3661 5.3661 5.3292 Å, 90.00 90.00 90.00°
Space group P4/mmm (No. 123)
Asymmetric unit:
Fe (0.0000, 0.0000, 0.0000) x1
Ge (0.5000, 0.5000, 0.5000) x1
Sb (0.0000, 0.5000, 0.5000) x2
Te (0.5000, 0.5000, 0.0000) x1

---

*two*
VASP calculation (PBE) on a geometry-optimized FeGeSb2Te structure.

Fermi-level density of states   4.72 states/eV per cell
Density   6.6 g/cm³
M_tot   0.001 μB/f.u.

Cell: 4.7545 4.7545 5.5940 Å, 90.00 90.00 90.00°
Space group P4/mmm (No. 123)
Asymmetric unit:
Fe (0.0000, 0.0000, 0.0000) x1
Ge (0.5000, 0.5000, 0.5000) x1
Sb (0.0000, 0.5000, 0.0000) x2
Te (0.0000, 0.0000, 0.5000) x1

---

Which of them is the most stable? Correct choice: *two*.